VASP calculation (PBE-GGA) on a relaxed structure of Cs3Zn2CuF9.

Unit cell a=6.0512 b=6.0512 c=7.4146 alpha=90.00 beta=90.00 gamma=120.00
Atoms (fractional coordinates):
F  0.0000  0.5000  0.0000
F  0.6661  0.8330  0.3333
F  0.3339  0.1670  0.6667
F  0.8330  0.1670  0.6667
Zn  0.3333  0.6667  0.1667
Cu  0.0000  0.0000  0.5000
F  0.5000  0.0000  0.0000
F  0.1670  0.8330  0.3333
F  0.1670  0.3339  0.3333
F  0.8330  0.6661  0.6667
Zn  0.6667  0.3333  0.8333
Cs  0.3333  0.6667  0.6655
Cs  0.6667  0.3333  0.3345
F  0.5000  0.5000  0.0000
Cs  0.0000  0.0000  0.0000

Computed properties:
Uncorrected formation energy: -2.309 eV per atom
Final energy: -4.046 eV/atom